1.
CaSc4Se5, optimized geometry, DFT PBE; uncorrected formation energy = -16.6 eV per formula unit; magnetic moment = 0.000 μB/atom; raw total energy = -6.140 eV per atom; volume = 21.5 Å³ per atom
1.0
-2.8453 2.6863 -0.1277
-0.8247 2.2832 6.3885
4.4572 7.5890 0.3107
Se Sc Ca
5 4 1
Cartesian
2.6274 8.5978 2.2863 Se
1.8163 4.9361 3.3496 Se
-1.8402 3.9607 4.2852 Se
-0.9628 4.7139 0.5792 Se
1.7500 7.8446 5.9923 Se
0.7863 6.6104 1.5005 Sc
0.0938 3.0736 2.5487 Sc
0.0009 5.9481 5.0710 Sc
0.6933 9.4849 4.0227 Sc
0.0000 0.0000 0.0000 Ca

***

2.
NaSc6Se8, optimized geometry, DFT PBE; uncorrected formation energy = -24.0 eV per formula unit; magnetic moment = 0.000 μB/atom; raw total energy = -6.076 eV per atom; volume = 21.7 Å³ per atom
1.0
-7.4888 0.4527 -1.8469
-3.1412 -5.2555 -4.7129
-4.9881 -5.1997 2.7894
Se Na Sc
8 1 6
Cartesian
-7.9634 -7.6295 -1.9037 Se
-7.6548 -2.3729 -1.8668 Se
-11.7137 -7.5018 -2.8278 Se
-9.1685 -4.9056 -4.1379 Se
-3.9046 -2.5006 -0.9426 Se
-10.0586 -4.8787 -0.5225 Se
-5.5596 -5.1237 -3.2479 Se
-6.4497 -5.0968 0.3675 Se
0.0000 0.0000 0.0000 Na
-1.5706 -2.6277 -2.3564 Sc
-3.7444 0.2264 -0.9235 Sc
-4.0647 -5.2276 -0.9617 Sc
-5.3150 -2.4014 -3.2799 Sc
-2.4941 -2.5998 1.3947 Sc
-6.2385 -2.3735 0.4712 Sc

***

3.
TlRhAu4, optimized geometry, DFT PBE; magnetic moment = 0.078 μB/atom; raw total energy = -3.510 eV per atom; energy of formation from the pure elements = 1.77 eV/f.u.; volume = 19.8 Å³ per atom
1.0
0.0000 3.9026 3.9026
3.9026 0.0000 3.9026
3.9026 3.9026 0.0000
Au Rh Tl
4 1 1
Cartesian
2.9289 2.9289 2.9289 Au
4.8763 2.9289 4.8763 Au
4.8763 4.8763 2.9289 Au
2.9289 4.8763 4.8763 Au
5.8539 5.8539 5.8539 Rh
0.0000 0.0000 0.0000 Tl

***

4.
Li2CuSiO4, optimized geometry, DFT PBE; uncorrected formation energy = -15.8 eV per formula unit; magnetic moment = 0.125 μB/atom; raw total energy = -6.119 eV per atom; energy above the most stable polymorph in this dataset = 1.8 kJ/mol of atoms; volume = 10.5 Å³ per atom
1.0
5.0322 0.0000 0.0000
0.0000 5.4843 0.1552
0.0000 0.2226 6.1087
O Si Li Cu
8 2 4 2
Cartesian
2.0545 0.9732 0.0305 O
4.5706 4.7337 6.2334 O
1.6895 3.8000 1.5712 O
4.5359 2.2323 1.5810 O
1.9883 1.0906 3.4023 O
4.2056 1.9069 4.6927 O
4.5043 4.6163 2.8616 O
2.0198 3.4746 4.6829 O
2.5541 1.9103 4.6862 Si
0.0380 3.7966 1.5778 Si
2.5198 1.9807 1.7109 Li
2.5382 4.7151 3.1120 Li
0.0037 3.7262 4.5531 Li
0.0221 0.9918 3.1520 Li
2.4802 4.7622 6.0355 Cu
4.9962 0.9447 0.2284 Cu

***

5.
KAlTe3, optimized geometry, DFT PBE; uncorrected formation energy = -3.0 eV per formula unit; magnetic moment = 0.000 μB/atom; raw total energy = -3.449 eV per atom; energy above the most stable polymorph in this dataset = 0.0 kJ/mol of atoms; volume = 38.5 Å³ per atom
1.0
-8.2917 8.3209 -3.1537
-3.8807 -2.0391 4.8230
5.4616 7.1027 4.3807
Al Te K
4 12 4
Cartesian
-2.6823 13.8812 1.9172 Al
-3.6234 5.3886 5.4385 Al
-4.0285 -0.4967 4.1327 Al
-3.0874 7.9959 0.6115 Al
-5.1436 6.5862 3.6163 Te
-4.2919 6.4627 -1.1811 Te
0.1945 7.5677 6.3830 Te
-6.9053 5.8168 -0.3331 Te
-3.5637 12.0236 0.2475 Te
-1.5671 6.7984 2.4337 Te
-2.4189 6.9218 7.2311 Te
-5.2045 12.9390 4.7448 Te
-2.0606 3.5390 4.3736 Te
-3.1471 1.3609 5.8024 Te
-1.5062 0.4455 1.3052 Te
-4.6502 9.8455 1.6763 Te
1.5147 5.1556 4.1546 K
-3.4296 3.8256 1.1223 K
-8.2255 8.2289 1.8954 K
-3.2812 9.5589 4.9276 K

***

6.
TbZrAg4, optimized geometry, DFT PBE; magnetic moment = 0.078 μB/atom; raw total energy = -4.262 eV per atom; energy of formation from the pure elements = -0.99 eV/f.u.; volume = 20.5 Å³ per atom
1.0
3.6357 -0.2933 0.0185
0.2932 3.6357 0.0215
-0.0512 -0.0508 9.2574
Ag Tb Zr
4 1 1
Cartesian
1.7833 -0.1809 6.2966 Ag
3.7736 1.5159 1.5484 Ag
0.1041 1.7757 7.7490 Ag
2.0944 3.4725 3.0009 Ag
0.1210 1.7925 4.6395 Tb
1.8178 -0.1467 0.0093 Zr